#i
The following is a SCAN calculation of CaIn2Mo at its PBEsol-relaxed geometry, from Alexandria via LeMat-Bulk.

Geometry as POSCAR:
```
CaIn2Mo
1.0
-2.826 0.659 -0.978
-0.975 -2.735 0.973
-1.927 3.510 7.937
Mo Ca In
1 1 2
Direct
0.500 0.500 0.000
0.500 0.500 0.500
0.000 0.000 0.777
0.000 0.000 0.223
```

magnetic moment = 0.44 μB/cell
symmetry = P4/mmm

---

#ii
The following is a SCAN calculation of CaIn2Mo at its PBEsol-relaxed geometry, from Alexandria via LeMat-Bulk.

Geometry as POSCAR:
```
CaIn2Mo
1.0
-4.862 0.538 -0.623
-2.315 -2.471 -3.585
-3.056 -3.701 1.132
Mo Ca In
1 1 2
Direct
0.250 0.250 0.250
0.500 0.500 0.500
0.000 0.000 0.000
0.750 0.750 0.750
```

magnetic moment = 3.32 μB/cell
symmetry = F-43m

---

#i has the most favorable energy; the next structure is 447 meV/atom above.